Cr2OsPd (PBE, optimized geometry); DFT formation energy = 153 meV per atom; crystal system = tetragonal; M_tot = 0.0 μB per formula unit
1.0
3.795 0.000 0.000
0.000 3.795 0.000
0.000 0.000 3.673
Cr Os Pd
2 1 1
Cartesian
0.000 1.898 0.000
1.898 0.000 0.000
0.000 0.000 1.837
1.898 1.898 1.837

***

Cr4OsPd (PBE, optimized geometry); DFT formation energy = 48 meV per atom; crystal system = cubic; M_tot = 0.0 μB per formula unit
1.0
0.000 3.354 3.354
3.354 0.000 3.354
3.354 3.354 0.000
Cr Os Pd
4 1 1
Cartesian
2.521 2.521 2.521
4.186 4.186 2.521
4.186 2.521 4.186
2.521 4.186 4.186
0.000 0.000 0.000
5.031 5.031 5.031

***

Cr2OsPd2 (PBE, optimized geometry); DFT formation energy = 490 meV per atom; crystal system = tetragonal; M_tot = 0.0 μB per formula unit
1.0
7.257 0.000 0.000
0.000 7.257 0.000
0.000 0.000 2.656
Cr Os Pd
4 2 4
Cartesian
1.260 2.369 0.000
2.369 5.997 0.000
4.888 1.260 0.000
5.997 4.888 0.000
0.000 0.000 1.328
3.628 3.628 1.328
0.917 4.546 1.328
2.711 0.917 1.328
4.546 6.339 1.328
6.339 2.711 1.328

***

CrOsPd2Rh (PBE, optimized geometry); DFT formation energy = 1921 meV per atom; crystal system = tetragonal; M_tot = 0.5 μB per formula unit
1.0
4.738 0.000 0.000
0.000 4.738 0.000
0.000 0.000 4.205
Cr Os Pd Rh
1 1 2 1
Cartesian
0.000 0.000 0.000
2.369 2.369 0.000
0.000 2.369 2.102
2.369 0.000 2.102
0.000 0.000 2.102

***

Sr2CrOsPd (PBE, optimized geometry); DFT formation energy = 833 meV per atom; crystal system = tetragonal; M_tot = 2.4 μB per formula unit
1.0
5.806 0.000 0.000
0.000 5.806 0.000
0.000 0.000 4.359
Sr Cr Os Pd
2 1 1 1
Cartesian
0.000 2.903 0.000
2.903 0.000 0.000
0.000 0.000 0.000
0.000 0.000 2.179
2.903 2.903 2.179

***

PrCrOs (PBE, optimized geometry); DFT formation energy = 85 meV per atom; crystal system = tetragonal; M_tot = 0.0 μB per formula unit
1.0
4.248 0.000 0.000
0.000 4.248 0.000
0.000 0.000 6.926
Pr Cr Os
2 2 2
Cartesian
1.062 1.062 1.097
3.186 3.186 5.830
1.062 3.186 3.463
3.186 1.062 3.463
1.062 1.062 4.632
3.186 3.186 2.294